Record 1
Density functional theory data (PBE) for a relaxed structure of Er3In2Hg2.

abc: 4.5155 22.8952 3.4127
angles: 90.00 90.00 90.00
Closest atoms and distances in Å follow each position.
Space group Cmmm (No. 65)
Symmetry-distinct sites (fractional):
Er  0.0000  0.0000  0.0000 [2 per cell]  8 Hg 3.28, 4 Er 3.41-3.43
Er  0.0000  0.1498  0.0000 [4 per cell]  4 In 3.17, 4 Hg 3.34, 3 Er 3.41-3.43
In  0.0000  0.2878  0.5000 [4 per cell]  2 In 2.84, 4 Er 3.17
Hg  0.0000  0.4276  0.5000 [4 per cell]  1 In 3.20, 8 Er 3.28-3.34, 3 Hg 3.32-3.41

***

Record 2
Density functional theory data (PBE) for a relaxed structure of Er5InHg3.

abc: 9.0587 9.0587 6.6191
angles: 90.00 90.00 120.00
Closest atoms and distances in Å follow each position.
Space group P6_3/mcm (No. 193)
Symmetry-distinct sites (fractional):
Er  0.0000  0.2979  0.2500 [6 per cell]  3 Hg 2.99-3.09, 2 In 3.17
Er  0.3333  0.6667  0.0000 [4 per cell]  6 Hg 3.31, 8 Er 3.31-3.60
In  0.0000  0.0000  0.0000 [2 per cell]  6 Er 3.17, 2 In 3.31
Hg  0.0000  0.3716  0.7500 [6 per cell]  7 Er 2.99-3.31

***

Record 3
Density functional theory data (PBE) for a relaxed structure of Er2InHg3.

Results
For the energy above the most stable polymorph in this dataset, the calculation gives 0.00 eV/f.u.

abc: 6.8727 9.9253 17.0564
angles: 90.00 90.00 90.00
Closest atoms and distances in Å follow each position.
Space group Fmmm (No. 69)
Symmetry-distinct sites (fractional):
Er  0.2466  0.0000  0.0000 [8 per cell]  10 Hg 3.30-3.34, 2 In 3.34, 2 Er 3.39-3.48
Er  0.2500  0.2500  0.2500 [8 per cell]  8 Hg 3.32-3.34, 4 In 3.33, 2 Er 3.44
In  0.0000  0.0000  0.3327 [8 per cell]  3 Hg 2.84-2.85
Hg  0.0000  0.0000  0.1663 [8 per cell]  1 In 2.84, 2 Hg 2.87
Hg  0.0000  0.2483  0.4165 [16 per cell]  2 Hg 2.85-2.87, 1 In 2.85

***

Record 4
Density functional theory data (PBE) for a relaxed structure of Er4In2Hg5.

abc: 8.0161 3.5242 9.9465
angles: 90.00 97.07 90.00
Closest atoms and distances in Å follow each position.
Space group P2/m (No. 10)
Symmetry-distinct sites (fractional):
Er  0.1863  0.0000  0.3963 [2 per cell]  6 Hg 3.13-3.28, 2 In 3.16
Er  0.2735  0.0000  0.9259 [2 per cell]  6 Hg 3.15-3.33, 4 In 3.29-3.30, 2 Er 3.52
In  0.0759  0.5000  0.1364 [2 per cell]  1 In 2.83, 2 Hg 2.99-3.00, 2 Er 3.16
Hg  0.1613  0.5000  0.6527 [2 per cell]  1 In 3.00, 6 Er 3.13-3.28, 2 Hg 3.27-3.31
Hg  0.4506  0.5000  0.1892 [2 per cell]  1 In 2.99, 2 Hg 3.07-3.31, 4 Er 3.15-3.33
Hg  0.5000  0.5000  0.5000 [1 per cell]  4 Hg 3.07-3.27, 4 Er 3.14

***

Record 5
Density functional theory data (PBE) for a relaxed structure of Er6In2Hg.

abc: 5.1108 7.2284 15.3176
angles: 90.00 90.00 90.00
Closest atoms and distances in Å follow each position.
Space group Immm (No. 71)
Symmetry-distinct sites (fractional):
Er  0.0000  0.2423  0.0000 [4 per cell]  2 Hg 3.10, 2 In 3.16
Er  0.0000  0.2537  0.3355 [8 per cell]  1 Hg 3.09, 3 In 3.14-3.15
In  0.0000  0.5000  0.1663 [4 per cell]  8 Er 3.14-3.16
Hg  0.0000  0.5000  0.5000 [2 per cell]  8 Er 3.09-3.10

***

Record 6
Density functional theory data (PBE) for a relaxed structure of Er2In3Hg4.

abc: 6.2793 16.6088 8.6623
angles: 90.00 90.00 90.00
Closest atoms and distances in Å follow each position.
Space group Cmce (No. 64)
Symmetry-distinct sites (fractional):
Er  0.0000  0.1103  0.0767 [8 per cell]  7 Hg 3.31-3.42, 6 In 3.59-3.70
In  0.0000  0.0000  0.5000 [4 per cell]  6 Hg 2.77-2.91
In  0.2500  0.2175  0.7500 [8 per cell]  5 Hg 2.89-3.16, 2 In 3.14
Hg  0.0000  0.1732  0.4454 [8 per cell]  5 In 2.91-3.16
Hg  0.2500  0.0432  0.7500 [8 per cell]  3 In 2.77-2.89

***

Number 1: ΔE_f -2.6 eV per formula unit, total DFT energy (no corrections) -44.69 eV per cell. Number 2: ΔE_f -3.6 eV per formula unit, total DFT energy (no corrections) -60.03 eV per cell. Number 3: ΔE_f -2.2 eV per formula unit, total DFT energy (no corrections) -119.82 eV per cell. Number 4: ΔE_f -3.9 eV per formula unit, total DFT energy (no corrections) -29.10 eV per cell. Number 5: ΔE_f -0.8 eV per formula unit, total DFT energy (no corrections) -68.00 eV per cell. Number 6: ΔE_f -1.4 eV per formula unit, total DFT energy (no corrections) -79.93 eV per cell.